PrGePt3, relaxed, DFT PBE; space-group type = No. 107; ΔE_f = -0.903 eV per atom; mass density = 13.71 g/cm³
1.0
3.909 -0.003 1.350
-0.468 3.880 1.354
-0.012 -0.018 6.367
Pr Pt Ge
1 3 1
direct
0.392 0.195 0.922
0.808 0.612 0.089
0.144 0.447 0.418
0.644 0.947 0.418
0.020 0.824 0.665

=====

TbSmIrAu, relaxed, DFT PBE; space-group type = No. 216; ΔE_f = -0.762 eV per atom; mass density = 12.90 g/cm³
1.0
5.029 0.000 0.000
2.514 4.355 0.000
2.514 1.452 4.106
Sm Ir Au Tb
1 1 1 1
direct
0.000 0.000 0.000
0.250 0.250 0.250
0.750 0.750 0.750
0.500 0.500 0.500

=====

KNbRh3, relaxed, DFT PBE; space-group type = No. 221; ΔE_f = 2.147 eV per atom; mass density = 7.56 g/cm³
1.0
4.591 0.000 0.000
0.000 4.591 0.000
0.000 0.000 4.591
Rh Nb K
3 1 1
direct
0.000 0.000 0.500
0.000 0.500 0.000
0.500 0.000 0.000
0.500 0.500 0.500
0.000 0.000 0.000

=====

| no. | V (Å³/atom) |
| --- | --- |
| 1 | 19.34 |
| 2 | 22.48 |
| 3 | 19.35 |